Computed, not measured: NiBiSb after structural relaxation at the PBE level of DFT.

## Properties
- excess energy over the best structure of this formula in the dataset (meV/atom) = 54.1
- ΔE_f (raw) (meV/atom) = -45.8

Cell lengths 4.0680, 5.4290, 7.1836 Å; angles 99.49, 90.37, 110.59 degrees
Fractional coordinates of all 6 atoms:
Ni1 0.2258 0.4491 0.2545
Ni2 0.7742 0.5509 0.7455
Bi1 0.1415 0.2701 0.8745
Bi2 0.8585 0.7299 0.1255
Sb1 0.3595 0.7335 0.5928
Sb2 0.6405 0.2665 0.4072


Computed, not measured: NiBiSb after structural relaxation at the PBE level of DFT.

## Properties
- excess energy over the best structure of this formula in the dataset (meV/atom) = 74.5
- ΔE_f (raw) (meV/atom) = -25.4

Cell lengths 6.5439, 6.5439, 6.5439 Å; angles 90.00, 90.00, 90.00 degrees
Fractional coordinates of all 12 atoms:
Ni1 0.0000 0.0000 0.0000
Ni2 0.0000 0.5000 0.5000
Ni3 0.5000 0.0000 0.5000
Ni4 0.5000 0.5000 0.0000
Bi1 0.2500 0.2500 0.2500
Bi2 0.2500 0.7500 0.7500
Bi3 0.7500 0.2500 0.7500
Bi4 0.7500 0.7500 0.2500
Sb1 0.2500 0.2500 0.7500
Sb2 0.2500 0.7500 0.2500
Sb3 0.7500 0.2500 0.2500
Sb4 0.7500 0.7500 0.7500